Crystalline CoCuP2O at its relaxed geometry. Source: Alexandria, functional PBE+U.

distance to the lowest polymorph of the same formula = 0.0 meV per atom
energy = -4.600 eV per atom

Lattice parameters (Å, degrees): 4.584 4.584 3.353 90.00 90.00 90.00
Space group P4/mmm (No. 123)
Unique sites:
1 Co 0.000 0.000 0.000 [1 per cell]
2 Cu 0.500 0.500 0.500 [1 per cell]
3 P 0.000 0.500 0.000 [2 per cell]
4 O 0.000 0.000 0.500 [1 per cell]